The following is a DFT calculation (SCAN) of a PBEsol-optimized structure of Fe2SeBr.

Cell: 4.2029 4.2029 6.2127 Å, 97.11 97.11 45.89°
With the nearest neighbours (Å) after each atom.
Positions (direct):
Fe 0.0000 0.0000 0.0000  3 Fe 2.37-2.40, 3 Se 2.43-2.51
Fe 0.7149 0.7149 0.1103  3 Fe 2.37-2.40, 1 Br 2.39, 2 Se 2.42
Se 0.2711 0.2711 0.8416  5 Fe 2.42-2.51
Br 0.5006 0.5006 0.3541  1 Fe 2.39

Computed properties:
- E above lowest polymorph: 0.00 eV per formula unit
- Crystal system: monoclinic
- Fermi-level density of states: 2.54 states/eV/f.u.
- Raw total energy: -19.02 eV/atom
- ΔE_f (raw): -68 meV/atom